1.
An optimized crystal structure of MgBe2CrBi, computed with GGA-PBE.

Geometry as POSCAR:
```
MgBe2CrBi
1.0
4.545 0.000 0.000
0.000 4.545 0.000
0.000 0.000 4.892
Mg Be Cr Bi
1 2 1 1
Direct
0.000 0.000 0.000
0.000 0.500 0.000
0.500 0.000 0.000
0.000 0.000 0.500
0.500 0.500 0.500
```

Values from the calculation:
Space-group type: P4/mmm
Fermi-level density of states in states/eV per atom: 0.57

---

2.
An optimized crystal structure of MgBe2CrBi, computed with GGA-PBE.

Geometry as POSCAR:
```
MgBe2CrBi
1.0
4.473 0.000 0.000
0.000 4.473 0.000
0.000 0.000 4.975
Mg Be Cr Bi
1 2 1 1
Direct
0.000 0.000 0.000
0.000 0.500 0.500
0.500 0.000 0.500
0.000 0.000 0.500
0.500 0.500 0.000
```

Values from the calculation:
Space-group type: P4/mmm
Fermi-level density of states in states/eV per atom: 0.84

---

What should be chosen as the least stable of them? Choose 1.

---

1.
An optimized crystal structure of Be2Cu2Bi, computed with GGA-PBE.

Geometry as POSCAR:
```
Be2Cu2Bi
1.0
7.101 0.000 0.000
0.000 7.101 0.000
0.000 0.000 2.949
Be Cu Bi
4 4 2
Direct
0.126 0.374 0.000
0.374 0.874 0.000
0.626 0.126 0.000
0.874 0.626 0.000
0.134 0.634 0.500
0.366 0.134 0.500
0.634 0.866 0.500
0.866 0.366 0.500
0.000 0.000 0.500
0.500 0.500 0.500
```

Values from the calculation:
Space-group type: P4/mbm
Fermi-level density of states in states/eV per atom: 0.29

---

2.
An optimized crystal structure of Be2Cu2Bi, computed with GGA-PBE.

Geometry as POSCAR:
```
Be2Cu2Bi
1.0
3.238 0.000 0.000
0.000 3.238 0.000
0.000 0.000 14.397
Be Cu Bi
4 4 2
Direct
0.000 0.500 0.250
0.000 0.500 0.750
0.500 0.000 0.250
0.500 0.000 0.750
0.000 0.000 0.138
0.000 0.000 0.862
0.500 0.500 0.362
0.500 0.500 0.638
0.000 0.000 0.500
0.500 0.500 0.000
```

Values from the calculation:
Space-group type: I4/mmm
Fermi-level density of states in states/eV per atom: 0.23

---

What should be chosen as the least stable of them? Choose 1.

---

1.
An optimized crystal structure of Be3CuBi, computed with GGA-PBE.

Geometry as POSCAR:
```
Be3CuBi
1.0
4.237 0.000 0.000
0.000 4.237 0.000
0.000 0.000 4.237
Be Cu Bi
3 1 1
Direct
0.000 0.000 0.500
0.000 0.500 0.000
0.500 0.000 0.000
0.000 0.000 0.000
0.500 0.500 0.500
```

Values from the calculation:
Space-group type: Pm-3m
Fermi-level density of states in states/eV per atom: 0.32

---

2.
An optimized crystal structure of Be3CuBi, computed with GGA-PBE.

Geometry as POSCAR:
```
Be3CuBi
1.0
4.795 0.000 0.000
0.000 4.795 0.000
0.000 0.000 4.795
Be Cu Bi
3 1 1
Direct
0.000 0.000 0.500
0.000 0.500 0.000
0.500 0.000 0.000
0.500 0.500 0.500
0.000 0.000 0.000
```

Values from the calculation:
Space-group type: Pm-3m
Fermi-level density of states in states/eV per atom: 0.71

---

What should be chosen as the least stable of them? Choose 2.

---

1.
An optimized crystal structure of Be2BiF, computed with GGA-PBE.

Geometry as POSCAR:
```
Be2BiF
1.0
6.173 0.000 0.000
0.000 6.173 0.000
0.000 0.000 6.173
Be Bi F
8 4 4
Direct
0.250 0.250 0.250
0.250 0.250 0.750
0.250 0.750 0.250
0.250 0.750 0.750
0.750 0.250 0.250
0.750 0.250 0.750
0.750 0.750 0.250
0.750 0.750 0.750
0.000 0.000 0.000
0.000 0.500 0.500
0.500 0.000 0.500
0.500 0.500 0.000
0.000 0.000 0.500
0.000 0.500 0.000
0.500 0.000 0.000
0.500 0.500 0.500
```

Values from the calculation:
Space-group type: Fm-3m
Fermi-level density of states in states/eV per atom: 0.07

---

2.
An optimized crystal structure of Be2BiF, computed with GGA-PBE.

Geometry as POSCAR:
```
Be2BiF
1.0
4.589 0.000 0.000
0.000 4.589 0.000
0.000 0.000 11.386
Be Bi F
8 4 4
Direct
0.072 0.250 0.125
0.250 0.572 0.375
0.250 0.928 0.875
0.428 0.250 0.625
0.572 0.750 0.625
0.750 0.072 0.875
0.750 0.428 0.375
0.928 0.750 0.125
0.000 0.000 0.500
0.000 0.500 0.750
0.500 0.000 0.250
0.500 0.500 0.000
0.000 0.000 0.000
0.000 0.500 0.250
0.500 0.000 0.750
0.500 0.500 0.500
```

Values from the calculation:
Space-group type: I-42d
Fermi-level density of states in states/eV per atom: 0.07

---

What should be chosen as the least stable of them? Choose 1.

---

1.
An optimized crystal structure of BeBiNF2, computed with GGA-PBE.

Geometry as POSCAR:
```
BeBiNF2
1.0
3.522 0.000 0.000
0.000 3.522 0.000
0.000 0.000 4.464
Be Bi N F
1 1 1 2
Direct
0.000 0.000 0.000
0.500 0.500 0.500
0.000 0.000 0.500
0.000 0.500 0.000
0.500 0.000 0.000
```

Values from the calculation:
Space-group type: P4/mmm
Fermi-level density of states in states/eV per atom: 0.10

---

2.
An optimized crystal structure of BeBiNF2, computed with GGA-PBE.

Geometry as POSCAR:
```
BeBiNF2
1.0
4.465 0.000 0.000
0.000 4.465 0.000
0.000 0.000 4.560
Be Bi N F
1 1 1 2
Direct
0.000 0.000 0.000
0.500 0.500 0.500
0.500 0.500 0.000
0.000 0.500 0.500
0.500 0.000 0.500
```

Values from the calculation:
Space-group type: P4/mmm
Fermi-level density of states in states/eV per atom: 0.57

---

What should be chosen as the least stable of them? Choose 2.

---

1.
An optimized crystal structure of BeFe3Bi, computed with GGA-PBE.

Geometry as POSCAR:
```
BeFe3Bi
1.0
4.866 0.000 0.000
0.000 4.866 0.000
0.000 0.000 4.866
Be Fe Bi
1 3 1
Direct
0.000 0.000 0.000
0.000 0.500 0.500
0.500 0.000 0.500
0.500 0.500 0.000
0.500 0.500 0.500
```

Values from the calculation:
Space-group type: Pm-3m
Fermi-level density of states in states/eV per atom: 1.69

---

2.
An optimized crystal structure of BeFe3Bi, computed with GGA-PBE.

Geometry as POSCAR:
```
BeFe3Bi
1.0
4.152 0.000 0.000
0.000 4.152 0.000
0.000 0.000 4.152
Be Fe Bi
1 3 1
Direct
0.000 0.000 0.000
0.000 0.000 0.500
0.000 0.500 0.000
0.500 0.000 0.000
0.500 0.500 0.500
```

Values from the calculation:
Space-group type: Pm-3m
Fermi-level density of states in states/eV per atom: 1.09

---

What should be chosen as the least stable of them? Choose 1.

---

1.
An optimized crystal structure of BeFe2Bi, computed with GGA-PBE.

Geometry as POSCAR:
```
BeFe2Bi
1.0
3.883 0.000 0.000
0.000 3.883 0.000
0.000 0.000 16.571
Be Fe Bi
4 8 4
Direct
0.000 0.000 0.000
0.000 0.500 0.250
0.500 0.000 0.750
0.500 0.500 0.500
0.146 0.750 0.125
0.250 0.146 0.875
0.250 0.354 0.375
0.354 0.750 0.625
0.646 0.250 0.625
0.750 0.646 0.375
0.750 0.854 0.875
0.854 0.250 0.125
0.000 0.000 0.500
0.000 0.500 0.750
0.500 0.000 0.250
0.500 0.500 0.000
```

Values from the calculation:
Space-group type: I-42d
Fermi-level density of states in states/eV per atom: 0.78

---

2.
An optimized crystal structure of BeFe2Bi, computed with GGA-PBE.

Geometry as POSCAR:
```
BeFe2Bi
1.0
5.942 0.000 0.000
0.000 5.942 0.000
0.000 0.000 5.942
Be Fe Bi
4 8 4
Direct
0.000 0.000 0.000
0.000 0.500 0.500
0.500 0.000 0.500
0.500 0.500 0.000
0.250 0.250 0.250
0.250 0.250 0.750
0.250 0.750 0.250
0.250 0.750 0.750
0.750 0.250 0.250
0.750 0.250 0.750
0.750 0.750 0.250
0.750 0.750 0.750
0.000 0.000 0.500
0.000 0.500 0.000
0.500 0.000 0.000
0.500 0.500 0.500
```

Values from the calculation:
Space-group type: Fm-3m
Fermi-level density of states in states/eV per atom: 1.34

---

What should be chosen as the least stable of them? Choose 1.

---

1.
An optimized crystal structure of BeFeBi3, computed with GGA-PBE.

Geometry as POSCAR:
```
BeFeBi3
1.0
5.107 0.000 0.000
0.000 5.107 0.000
0.000 0.000 5.107
Be Fe Bi
1 1 3
Direct
0.000 0.000 0.000
0.500 0.500 0.500
0.000 0.500 0.500
0.500 0.000 0.500
0.500 0.500 0.000
```

Values from the calculation:
Space-group type: Pm-3m
Fermi-level density of states in states/eV per atom: 0.46

---

2.
An optimized crystal structure of BeFeBi3, computed with GGA-PBE.

Geometry as POSCAR:
```
BeFeBi3
1.0
5.071 0.000 0.000
0.000 5.071 0.000
0.000 0.000 5.071
Be Fe Bi
1 1 3
Direct
0.000 0.000 0.000
0.500 0.500 0.500
0.000 0.000 0.500
0.000 0.500 0.000
0.500 0.000 0.000
```

Values from the calculation:
Space-group type: Pm-3m
Fermi-level density of states in states/eV per atom: 1.68

---

What should be chosen as the least stable of them? Choose 2.